1.
# HoErInSn

An optimized crystal structure of HoErInSn (GGA-PBE, Alexandria via LeMat-Bulk).

Values from the calculation:
DFT total energy: -4.452 eV per atom
ΔE_f: -186 kJ/mol of formula units

POSCAR file:
```
HoErInSn
1.0
5.303 0.000 0.000
2.651 4.592 0.000
2.651 1.531 4.330
In Ho Sn Er
1 1 1 1
Direct
0.250 0.250 0.250 In
0.000 0.000 0.000 Ho
0.750 0.750 0.750 Sn
0.500 0.500 0.500 Er
```


2.
# TbHo5Er2In

An optimized crystal structure of TbHo5Er2In (GGA-PBE, Alexandria via LeMat-Bulk).

Values from the calculation:
DFT total energy: -4.377 eV per atom
ΔE_f: -1 kJ/mol of formula units

POSCAR file:
```
TbHo5Er2In
1.0
-2.691 -1.405 4.373
5.516 -8.377 -2.536
7.883 3.392 5.941
Tb Ho Er In
2 10 4 2
Direct
0.793 0.586 0.508 Tb
0.207 0.414 0.008 Tb
0.383 0.766 0.008 Ho
0.711 0.422 0.808 Ho
0.500 0.000 0.758 Ho
0.289 0.579 0.708 Ho
0.989 0.977 0.508 Ho
0.617 0.234 0.508 Ho
0.289 0.578 0.308 Ho
0.500 0.000 0.258 Ho
0.711 0.421 0.208 Ho
0.011 0.023 0.008 Ho
0.884 0.768 0.798 Er
0.116 0.232 0.718 Er
0.116 0.232 0.298 Er
0.884 0.768 0.218 Er
0.595 0.191 0.008 In
0.405 0.809 0.508 In
```


3.
# Tb3Ho6Er2In

An optimized crystal structure of Tb3Ho6Er2In (GGA-PBE, Alexandria via LeMat-Bulk).

Values from the calculation:
DFT total energy: -4.474 eV per atom
ΔE_f: -45 kJ/mol of formula units

POSCAR file:
```
Tb3Ho6Er2In
1.0
6.068 -0.002 0.000
-3.035 5.255 0.000
-1.017 -1.760 11.384
Tb Ho Er In
3 6 2 1
Direct
0.167 0.833 0.500 Tb
0.833 0.167 0.500 Tb
0.500 0.500 0.500 Tb
0.919 0.590 0.754 Ho
0.752 0.752 0.247 Ho
0.081 0.410 0.246 Ho
0.590 0.919 0.754 Ho
0.248 0.248 0.753 Ho
0.410 0.081 0.246 Ho
0.334 0.666 0.000 Er
0.666 0.334 0.000 Er
0.000 0.000 0.000 In
```


4.
# Tb6Ho3Er2In

An optimized crystal structure of Tb6Ho3Er2In (GGA-PBE, Alexandria via LeMat-Bulk).

Values from the calculation:
DFT total energy: -4.487 eV per atom
ΔE_f: -45 kJ/mol of formula units

POSCAR file:
```
Tb6Ho3Er2In
1.0
-1.058 -5.599 -2.142
3.752 0.797 4.726
-9.711 0.530 6.308
Tb Ho Er In
6 3 2 1
Direct
0.918 0.589 0.753 Tb
0.753 0.753 0.248 Tb
0.082 0.411 0.247 Tb
0.589 0.918 0.753 Tb
0.247 0.247 0.752 Tb
0.411 0.082 0.247 Tb
0.167 0.833 0.500 Ho
0.833 0.167 0.500 Ho
0.500 0.500 0.500 Ho
0.334 0.666 0.000 Er
0.666 0.334 0.000 Er
0.000 0.000 0.000 In
```


5.
# TbHo2ErIn4

An optimized crystal structure of TbHo2ErIn4 (GGA-PBE, Alexandria via LeMat-Bulk).

Values from the calculation:
DFT total energy: -4.118 eV per atom
ΔE_f: -351 kJ/mol of formula units

POSCAR file:
```
TbHo2ErIn4
1.0
-3.702 3.547 1.330
-3.921 -1.370 3.287
2.271 3.208 8.314
Tb Ho Er In
1 2 1 4
Direct
0.000 0.000 0.000 Tb
0.750 0.750 0.749 Ho
0.250 0.250 0.251 Ho
0.500 0.500 0.500 Er
0.376 0.376 0.874 In
0.875 0.875 0.376 In
0.125 0.125 0.624 In
0.624 0.624 0.126 In
```


6.
# TbHo2Er2In

An optimized crystal structure of TbHo2Er2In (GGA-PBE, Alexandria via LeMat-Bulk).

Values from the calculation:
DFT total energy: -4.302 eV per atom
ΔE_f: -16 kJ/mol of formula units

POSCAR file:
```
TbHo2Er2In
1.0
-1.065 2.014 4.929
7.631 -5.195 3.771
4.028 5.051 -1.194
Tb Ho Er In
2 4 4 2
Direct
0.500 0.500 0.000 Tb
0.000 0.000 0.500 Tb
0.500 0.809 0.282 Ho
0.500 0.191 0.718 Ho
0.000 0.691 0.782 Ho
0.000 0.309 0.218 Ho
0.500 0.135 0.209 Er
0.000 0.635 0.291 Er
0.500 0.865 0.791 Er
0.000 0.365 0.709 Er
0.000 0.000 0.000 In
0.500 0.500 0.500 In
```


7.
# TbHoErIn

An optimized crystal structure of TbHoErIn (GGA-PBE, Alexandria via LeMat-Bulk).

Values from the calculation:
DFT total energy: -4.249 eV per atom
Energy above the lowest structure with this stoichiometry: 0.143 eV per atom
ΔE_f: -47 kJ/mol of formula units

POSCAR file:
```
TbHoErIn
1.0
-3.610 3.922 1.038
-4.459 0.467 -3.065
-4.861 -1.261 2.068
In Tb Ho Er
1 1 1 1
Direct
0.250 0.250 0.250 In
0.000 0.000 0.000 Tb
0.750 0.750 0.750 Ho
0.500 0.500 0.500 Er
```


8.
# Tb3Ho2Er6In

An optimized crystal structure of Tb3Ho2Er6In (GGA-PBE, Alexandria via LeMat-Bulk).

Values from the calculation:
DFT total energy: -4.471 eV per atom
ΔE_f: -47 kJ/mol of formula units

POSCAR file:
```
Tb3Ho2Er6In
1.0
-4.873 -3.506 -0.755
5.213 -1.436 -2.716
2.916 -4.507 10.237
Tb Ho Er In
3 2 6 1
Direct
0.167 0.833 0.500 Tb
0.833 0.167 0.500 Tb
0.500 0.500 0.500 Tb
0.334 0.666 0.000 Ho
0.666 0.334 0.000 Ho
0.919 0.590 0.754 Er
0.752 0.752 0.247 Er
0.081 0.410 0.246 Er
0.590 0.919 0.754 Er
0.248 0.248 0.753 Er
0.410 0.081 0.246 Er
0.000 0.000 0.000 In
```


9.
# Tb2Ho3Er6In

An optimized crystal structure of Tb2Ho3Er6In (GGA-PBE, Alexandria via LeMat-Bulk).

Values from the calculation:
DFT total energy: -4.470 eV per atom
ΔE_f: -52 kJ/mol of formula units

POSCAR file:
```
Tb2Ho3Er6In
1.0
6.037 -0.003 0.002
-3.020 5.228 0.002
-1.016 -1.760 11.395
Tb Ho Er In
2 3 6 1
Direct
0.334 0.666 0.000 Tb
0.666 0.334 0.000 Tb
0.167 0.833 0.500 Ho
0.833 0.167 0.500 Ho
0.500 0.500 0.500 Ho
0.918 0.589 0.752 Er
0.753 0.753 0.249 Er
0.082 0.411 0.248 Er
0.589 0.918 0.752 Er
0.247 0.247 0.751 Er
0.411 0.082 0.248 Er
0.000 0.000 0.000 In
```


10.
# Tb5Ho2ErIn

An optimized crystal structure of Tb5Ho2ErIn (GGA-PBE, Alexandria via LeMat-Bulk).

Values from the calculation:
DFT total energy: -4.404 eV per atom
ΔE_f: -3 kJ/mol of formula units

POSCAR file:
```
Tb5Ho2ErIn
1.0
5.356 0.000 0.000
-2.678 10.034 0.000
0.000 0.000 10.503
Tb Ho Er In
10 4 2 2
Direct
0.382 0.763 0.008 Tb
0.711 0.422 0.809 Tb
0.500 0.000 0.758 Tb
0.289 0.578 0.708 Tb
0.987 0.975 0.508 Tb
0.618 0.237 0.508 Tb
0.289 0.578 0.309 Tb
0.500 0.000 0.258 Tb
0.711 0.422 0.208 Tb
0.013 0.025 0.008 Tb
0.884 0.768 0.800 Ho
0.116 0.232 0.717 Ho
0.116 0.232 0.300 Ho
0.884 0.768 0.217 Ho
0.794 0.588 0.508 Er
0.206 0.412 0.008 Er
0.596 0.192 0.008 In
0.404 0.808 0.508 In
```


11.
# TbHoEr5In2

An optimized crystal structure of TbHoEr5In2 (GGA-PBE, Alexandria via LeMat-Bulk).

Values from the calculation:
DFT total energy: -4.154 eV per atom
ΔE_f: 11 kJ/mol of formula units

POSCAR file:
```
TbHoEr5In2
1.0
7.565 0.000 0.000
0.000 7.565 0.000
-3.782 -3.782 9.707
Tb Ho Er In
2 2 10 4
Direct
0.250 0.250 0.500 Tb
0.750 0.750 0.500 Tb
0.250 0.750 0.500 Ho
0.750 0.250 0.500 Ho
0.923 0.423 0.246 Er
0.677 0.177 0.754 Er
0.077 0.577 0.754 Er
0.177 0.077 0.754 Er
0.577 0.677 0.754 Er
0.823 0.923 0.246 Er
0.423 0.323 0.246 Er
0.323 0.823 0.246 Er
0.500 0.500 0.000 Er
0.000 0.000 0.000 Er
0.125 0.375 0.000 In
0.625 0.125 0.000 In
0.375 0.875 0.000 In
0.875 0.625 0.000 In
```


12.
# TbHo2ErIn2

An optimized crystal structure of TbHo2ErIn2 (GGA-PBE, Alexandria via LeMat-Bulk).

Values from the calculation:
DFT total energy: -4.327 eV per atom
ΔE_f: -206 kJ/mol of formula units

POSCAR file:
```
TbHo2ErIn2
1.0
5.168 0.000 0.000
0.000 6.708 0.000
0.000 0.000 9.768
Tb Ho Er In
2 4 2 4
Direct
0.000 0.972 0.463 Tb
0.000 0.472 0.537 Tb
0.500 0.043 0.038 Ho
0.000 0.324 0.181 Ho
0.500 0.543 0.962 Ho
0.000 0.824 0.819 Ho
0.500 0.192 0.683 Er
0.500 0.692 0.317 Er
0.000 0.297 0.858 In
0.500 0.220 0.358 In
0.000 0.797 0.142 In
0.500 0.720 0.642 In
```


- Look up the ΔE_f of the fifth one.
  -351 kJ/mol of formula units


- The highest DFT total energy belongs to which entry?
  TbHo2ErIn4


- Which of these has the highest ΔE_f?
  TbHoEr5In2


- Which formula does entry 10 have?
  Tb5Ho2ErIn